No. 1
CaErTh2: relaxed, PBE.

Computed properties:
- Formation energy from the elements: 0.2332 eV per atom
- Spin magnetization: 0.000 μB per formula unit
- Energy relative to the lowest polymorph listed for this composition: 49 meV/atom

```
CaErTh2
1.0
3.494 0.000 0.000
1.747 3.026 0.000
1.747 1.009 12.841
Ca Th Er
1 2 1
direct
0.000 0.000 0.000
0.090 0.090 0.730
0.910 0.910 0.270
0.500 0.500 0.500
```

---

No. 2
Cr4Tc: relaxed, PBE.

Computed properties:
- Formation energy from the elements: 0.0418 eV per atom
- Spin magnetization: 0.000 μB per formula unit
- Energy relative to the lowest polymorph listed for this composition: 21 meV/atom

```
Cr4Tc
1.0
2.446 -0.056 -0.689
-0.204 3.945 -1.048
0.024 -0.385 6.475
Cr Tc
4 1
direct
0.196 0.395 0.790
0.804 0.605 0.210
0.390 0.796 0.592
0.610 0.204 0.408
0.000 0.000 0.000
```

---

No. 3
TlSnAsSe2: relaxed, PBE.

Computed properties:
- Spin magnetization: 1.000 μB per formula unit
- Energy relative to the lowest polymorph listed for this composition: 0 meV/atom
- Raw formation energy: 0.2215 eV per atom

```
TlSnAsSe2
1.0
5.412 0.000 0.000
0.000 5.412 0.000
0.000 0.000 5.299
As Tl Sn Se
1 1 1 2
direct
0.000 0.000 0.500
0.500 0.500 0.500
0.000 0.000 0.000
0.000 0.500 0.000
0.500 0.000 0.000
```

---

No. 4
AlCdBr2: relaxed, PBE.

Computed properties:
- Spin magnetization: 0.000 μB per formula unit
- Energy relative to the lowest polymorph listed for this composition: 276 meV/atom
- Raw formation energy: -0.2080 eV per atom

```
AlCdBr2
1.0
4.423 0.000 0.000
0.000 4.423 0.000
0.000 0.000 6.257
Al Br Cd
1 2 1
direct
0.500 0.500 0.876
0.000 0.000 0.876
0.500 0.500 0.373
0.000 0.000 0.376
```